# 1
A geometry-optimized YSe2BrF structure. Source: Alexandria, functional PBE.

Computed properties:
Final energy = -20.5 eV per cell
Offset from the most stable computed form = 0 meV/atom

Cell: 4.501 4.501 5.378 Å, 90.00 90.00 90.00°
Space group P4/mmm (No. 123)
One atom of each set of equivalent atoms:
Y 0.000 0.000 0.000 [1 per cell]
Se 0.000 0.500 0.500 [2 per cell]
Br 0.500 0.500 0.000 [1 per cell]
F 0.500 0.500 0.500 [1 per cell]

***

# 2
A geometry-optimized Si2BHAu structure. Source: Alexandria, functional PBE.

Computed properties:
Final energy = -22.0 eV per cell

Cell: 4.435 4.435 3.001 Å, 90.00 90.00 90.00°
Space group P4/mmm (No. 123)
One atom of each set of equivalent atoms:
Si 0.000 0.500 0.000 [2 per cell]
B 0.000 0.000 0.000 [1 per cell]
H 0.000 0.000 0.500 [1 per cell]
Au 0.500 0.500 0.500 [1 per cell]

***

# 3
A geometry-optimized Sc2Ni3Pt structure. Source: Alexandria, functional PBE.

Computed properties:
Energy of formation from the pure elements = -455 meV/atom
Final energy = -620.4 eV per cell

Cell: 9.651 10.384 15.208 Å, 90.00 90.00 90.00°
Space group Fddd (No. 70, origin choice 2)
One atom of each set of equivalent atoms:
Sc 0.023 0.262 0.468 [32 per cell]
Ni 0.000 0.000 0.000 [16 per cell]
Ni 0.125 0.125 0.351 [16 per cell]
Ni 0.125 0.345 0.625 [16 per cell]
Pt 0.019 0.375 0.875 [16 per cell]

***

# 4
A geometry-optimized ScFe22B6 structure. Source: Alexandria, functional PBE.

Computed properties:
Energy of formation from the pure elements = -193 meV/atom
Final energy = -952.7 eV per cell

Cell: 10.636 10.636 10.636 Å, 90.00 90.00 90.00°
Space group Fm-3m (No. 225)
One atom of each set of equivalent atoms:
Sc 0.000 0.000 0.000 [4 per cell]
Fe 0.000 0.174 0.174 [48 per cell]
Fe 0.118 0.118 0.382 [32 per cell]
Fe 0.250 0.250 0.250 [8 per cell]
B 0.000 0.000 0.273 [24 per cell]

***

# 5
A geometry-optimized Pm12InRh6 structure. Source: Alexandria, functional PBE.

Computed properties:
Energy of formation from the pure elements = -530 meV/atom
Final energy = -227.8 eV per cell
Offset from the most stable computed form = 0 meV/atom

Cell: 10.140 10.140 10.140 Å, 90.00 90.00 90.00°
Space group Im-3 (No. 204)
One atom of each set of equivalent atoms:
Pm 0.000 0.304 0.186 [24 per cell]
In 0.000 0.000 0.000 [2 per cell]
Rh 0.000 0.131 0.500 [12 per cell]

***

# 6
A geometry-optimized Ge2PdF8 structure. Source: Alexandria, functional PBE.

Computed properties:
Final energy = -99.2 eV per cell

Cell: 9.903 6.357 5.776 Å, 90.00 100.98 90.00°
Space group C2/m (No. 12)
One atom of each set of equivalent atoms:
Ge 0.184 0.000 0.218 [4 per cell]
Pd 0.000 0.000 0.500 [2 per cell]
F 0.124 0.000 0.909 [4 per cell]
F 0.139 0.500 0.737 [4 per cell]
F 0.149 0.264 0.280 [8 per cell]

***

# 7
A geometry-optimized CaTh2H8 structure. Source: Alexandria, functional PBE.

Computed properties:
Final energy = -98.3 eV per cell

Cell: 3.777 5.416 11.515 Å, 90.00 90.00 90.00°
Space group Immm (No. 71)
One atom of each set of equivalent atoms:
Ca 0.000 0.000 0.000 [2 per cell]
Th 0.000 0.000 0.333 [4 per cell]
H 0.000 0.239 0.500 [4 per cell]
H 0.000 0.247 0.162 [8 per cell]
H 0.000 0.500 0.316 [4 per cell]

***

# 8
A geometry-optimized TmTlAu2 structure. Source: Alexandria, functional PBE.

Computed properties:
Energy of formation from the pure elements = -443 meV/atom
Final energy = -15.2 eV per cell

Cell: 4.811 4.811 3.855 Å, 90.00 90.00 90.00°
Space group P4/mmm (No. 123)
One atom of each set of equivalent atoms:
Tm 0.000 0.000 0.000 [1 per cell]
Tl 0.500 0.500 0.000 [1 per cell]
Au 0.000 0.500 0.500 [2 per cell]

***

# 9
A geometry-optimized Ga2HgSbO6 structure. Source: Alexandria, functional PBE.

Computed properties:
Final energy = -213.1 eV per cell

Cell: 9.658 10.254 5.419 Å, 90.00 95.28 90.00°
Space group C2/c (No. 15)
One atom of each set of equivalent atoms:
Ga 0.188 0.098 0.293 [8 per cell]
Hg 0.000 0.430 0.250 [4 per cell]
Sb 0.000 0.207 0.750 [4 per cell]
O 0.100 0.217 0.080 [8 per cell]
O 0.130 0.345 0.635 [8 per cell]
O 0.136 0.064 0.624 [8 per cell]

***

# 10
A geometry-optimized KHg3F8 structure. Source: Alexandria, functional PBE.

Computed properties:
Final energy = -71.7 eV per cell
Offset from the most stable computed form = 0 meV/atom

Cell: 14.709 4.509 6.944 Å, 90.00 90.57 90.00°
Space group Cm (No. 8)
One atom of each set of equivalent atoms:
K 0.000 0.000 0.000 [2 per cell]
Hg 0.151 0.000 0.466 [2 per cell]
Hg 0.293 0.000 0.931 [2 per cell]
Hg 0.446 0.000 0.474 [2 per cell]
F 0.102 0.500 0.452 [2 per cell]
F 0.149 0.000 0.777 [2 per cell]
F 0.174 0.000 0.161 [2 per cell]
F 0.299 0.000 0.537 [2 per cell]
F 0.311 0.500 0.927 [2 per cell]
F 0.413 0.000 0.165 [2 per cell]
F 0.448 0.000 0.788 [2 per cell]
F 0.492 0.500 0.413 [2 per cell]

***

# 11
A geometry-optimized LiPaBi structure. Source: Alexandria, functional PBE.

Computed properties:
Energy of formation from the pure elements = 283 meV/atom
Final energy = -14.4 eV per cell
Offset from the most stable computed form = 319 meV/atom

Cell: 4.051 4.098 4.994 Å, 90.00 90.00 90.00°
Space group Pmmm (No. 47)
One atom of each set of equivalent atoms:
Li 0.000 0.000 0.000 [1 per cell]
Pa 0.000 0.500 0.500 [1 per cell]
Bi 0.500 0.500 0.000 [1 per cell]

***

# 12
A geometry-optimized Rb2ZnSbS4 structure. Source: Alexandria, functional PBE.

Computed properties:
Final energy = -234.7 eV per cell

Cell: 6.253 14.390 23.394 Å, 90.00 90.00 90.00°
Space group Fddd (No. 70, origin choice 2)
One atom of each set of equivalent atoms:
Rb 0.125 0.125 0.304 [16 per cell]
Zn 0.125 0.125 0.125 [8 per cell]
Sb 0.125 0.125 0.625 [8 per cell]
S 0.109 0.277 0.428 [32 per cell]

***

# 13
A geometry-optimized CaTc2O4 structure. Source: Alexandria, functional PBE.

Computed properties:
Final energy = -102.5 eV per cell

Cell: 7.553 7.553 5.053 Å, 90.00 90.00 90.00°
Space group I4/m (No. 87)
One atom of each set of equivalent atoms:
Ca 0.000 0.000 0.000 [2 per cell]
Tc 0.000 0.500 0.250 [4 per cell]
O 0.004 0.702 0.000 [8 per cell]

***

# 14
A geometry-optimized ZnTe2 structure. Source: Alexandria, functional PBE.

Computed properties:
Final energy = -30.6 eV per cell

Cell: 6.144 5.711 11.370 Å, 90.00 90.00 90.00°
Space group Pnma (No. 62)
One atom of each set of equivalent atoms:
Zn 0.250 0.250 0.000 [4 per cell]
Te 0.130 0.250 0.395 [4 per cell]
Te 0.130 0.750 0.104 [4 per cell]

***

# 15
A geometry-optimized B5C7 structure. Source: Alexandria, functional PBE.

Computed properties:
Energy of formation from the pure elements = 349 meV/atom
Final energy = -93.8 eV per cell
Offset from the most stable computed form = 91 meV/atom

Cell: 3.710 3.837 5.806 Å, 90.00 106.72 90.00°
Space group P2 (No. 3)
One atom of each set of equivalent atoms:
B 0.000 0.000 0.000 [1 per cell]
B 0.000 0.205 0.500 [1 per cell]
B 0.179 0.665 0.816 [2 per cell]
B 0.500 0.691 0.500 [1 per cell]
C 0.178 0.438 0.324 [2 per cell]
C 0.336 0.964 0.681 [2 per cell]
C 0.353 0.205 0.174 [2 per cell]
C 0.500 0.431 0.000 [1 per cell]

***

# 16
A geometry-optimized Sn3AuBr structure. Source: Alexandria, functional PBE.

Computed properties:
Final energy = -13.1 eV per cell
Offset from the most stable computed form = 554 meV/atom

Cell: 5.529 5.529 5.529 Å, 90.00 90.00 90.00°
Space group Pm-3m (No. 221)
One atom of each set of equivalent atoms:
Sn 0.000 0.000 0.500 [3 per cell]
Au 0.500 0.500 0.500 [1 per cell]
Br 0.000 0.000 0.000 [1 per cell]

***

# 17
A geometry-optimized CeDyMgAg structure. Source: Alexandria, functional PBE.

Computed properties:
Energy of formation from the pure elements = -29 meV/atom
Final energy = -60.4 eV per cell

Cell: 7.504 7.504 7.504 Å, 90.00 90.00 90.00°
Space group F-43m (No. 216)
One atom of each set of equivalent atoms:
Ce 0.000 0.000 0.000 [4 per cell]
Dy 0.000 0.000 0.500 [4 per cell]
Mg 0.250 0.250 0.750 [4 per cell]
Ag 0.250 0.250 0.250 [4 per cell]

***

# 18
A geometry-optimized Tb5Pm3Pr structure. Source: Alexandria, functional PBE.

Computed properties:
Energy of formation from the pure elements = 252 meV/atom
Final energy = -159.7 eV per cell

Cell: 8.728 8.728 15.749 Å, 90.00 90.00 90.00°
Space group I4/mcm (No. 140)
One atom of each set of equivalent atoms:
Tb 0.000 0.000 0.000 [4 per cell]
Tb 0.207 0.293 0.137 [16 per cell]
Pm 0.000 0.000 0.250 [4 per cell]
Pm 0.118 0.382 0.500 [8 per cell]
Pr 0.000 0.500 0.250 [4 per cell]

***

# 19
A geometry-optimized TbThTcNi structure. Source: Alexandria, functional PBE.

Computed properties:
Energy of formation from the pure elements = -186 meV/atom
Final energy = -115.8 eV per cell

Cell: 6.953 6.953 6.953 Å, 90.00 90.00 90.00°
Space group F-43m (No. 216)
One atom of each set of equivalent atoms:
Tb 0.000 0.000 0.000 [4 per cell]
Th 0.000 0.000 0.500 [4 per cell]
Tc 0.250 0.250 0.750 [4 per cell]
Ni 0.250 0.250 0.250 [4 per cell]

***

# 20
A geometry-optimized Zr6Sc5 structure. Source: Alexandria, functional PBE.

Computed properties:
Energy of formation from the pure elements = 99 meV/atom
Final energy = -163.7 eV per cell

Cell: 8.897 14.216 4.990 Å, 90.00 124.05 90.00°
Space group C2/m (No. 12)
One atom of each set of equivalent atoms:
Zr 0.201 0.131 0.202 [8 per cell]
Zr 0.207 0.000 0.709 [4 per cell]
Sc 0.000 0.203 0.500 [4 per cell]
Sc 0.000 0.338 0.000 [4 per cell]
Sc 0.000 0.500 0.500 [2 per cell]

***

# 21
A geometry-optimized Ho4OsPb structure. Source: Alexandria, functional PBE.

Computed properties:
Energy of formation from the pure elements = -394 meV/atom
Final energy = -142.4 eV per cell

Cell: 8.880 13.459 6.124 Å, 90.00 112.28 90.00°
Space group C2/c (No. 15)
One atom of each set of equivalent atoms:
Ho 0.110 0.166 0.061 [8 per cell]
Ho 0.224 0.430 0.352 [8 per cell]
Os 0.000 0.000 0.250 [4 per cell]
Pb 0.000 0.370 0.750 [4 per cell]